Entry 1:
The following is a PBE calculation of an optimized crystal structure of Cs3Dy2MnS6, from Alexandria.

ΔE_f (raw): -17.044 eV/f.u.
Size of the total moment: 0.333 μB/atom
Total energy: -125.5 eV per cell
Calculated density: 4.807 g/cm3

Cell lengths 7.1103, 11.7978, 8.3827 Å; angles 90.00, 107.42, 90.00 degrees
Space group C2/m (No. 12)
One atom of each set of equivalent atoms:
1 Cs 0.0000 0.0000 0.0000 (multiplicity 2)
2 Cs 0.0000 0.3277 0.0000 (multiplicity 4)
3 Dy 0.0000 0.1631 0.5000 (multiplicity 4)
4 Mn 0.0000 0.5000 0.5000 (multiplicity 2)
5 S 0.2071 0.3494 0.6663 (multiplicity 8)
6 S 0.2250 0.0000 0.6954 (multiplicity 4)

---

Entry 2:
The following is a PBE calculation of an optimized crystal structure of Cs2DyMnS4, from Alexandria.

ΔE_f (raw): -9.587 eV/f.u.
Size of the total moment: 0.500 μB/atom
Total energy: -332.6 eV per cell
Calculated density: 3.361 g/cm3

Cell lengths 6.3782, 14.9643, 25.3219 Å; angles 90.00, 90.00, 90.00 degrees
Space group Fddd (No. 70, origin choice 2)
One atom of each set of equivalent atoms:
1 Cs 0.1250 0.1250 0.3063 (multiplicity 16)
2 Dy 0.1250 0.1250 0.1250 (multiplicity 8)
3 Mn 0.1250 0.1250 0.6250 (multiplicity 8)
4 S 0.0924 0.2766 0.8316 (multiplicity 32)

---

Entry 3:
The following is a PBE calculation of an optimized crystal structure of CsDyMnSe3, from Alexandria.

ΔE_f (raw): -7.890 eV/f.u.
Size of the total moment: 0.834 μB/atom
Total energy: -65.9 eV per cell
Calculated density: 4.908 g/cm3

Cell lengths 9.6848, 4.2648, 10.3408 Å; angles 90.00, 111.52, 90.00 degrees
Space group P2_1/m (No. 11)
One atom of each set of equivalent atoms:
1 Cs 0.2173 0.2500 0.2435 (multiplicity 2)
2 Dy 0.3329 0.7500 0.8632 (multiplicity 2)
3 Mn 0.0857 0.2500 0.6118 (multiplicity 2)
4 Se 0.1254 0.2500 0.8609 (multiplicity 2)
5 Se 0.1965 0.7500 0.5473 (multiplicity 2)
6 Se 0.4763 0.7500 0.1551 (multiplicity 2)

---

Entry 4:
The following is a PBE calculation of an optimized crystal structure of Cs2Dy2MnSe6, from Alexandria.

ΔE_f (raw): -14.516 eV/f.u.
Size of the total moment: 0.272 μB/atom
Total energy: -111.0 eV per cell
Calculated density: 5.157 g/cm3

Cell lengths 7.0262, 12.0264, 8.9033 Å; angles 90.00, 106.61, 90.00 degrees
Space group C2/m (No. 12)
One atom of each set of equivalent atoms:
1 Cs 0.0000 0.1735 0.0000 (multiplicity 4)
2 Dy 0.0000 0.3322 0.5000 (multiplicity 4)
3 Mn 0.0000 0.0000 0.5000 (multiplicity 2)
4 Se 0.2161 0.1495 0.6767 (multiplicity 8)
5 Se 0.2365 0.0000 0.3266 (multiplicity 4)

---

Entry 5:
The following is a PBE calculation of an optimized crystal structure of CsDy2MnTe4, from Alexandria.

ΔE_f (raw): -8.441 eV/f.u.
Size of the total moment: 0.518 μB/atom
Total energy: -160.9 eV per cell
Calculated density: 6.224 g/cm3

Cell lengths 4.4469, 15.7782, 15.5645 Å; angles 90.00, 90.00, 90.00 degrees
Space group Cmcm (No. 63)
One atom of each set of equivalent atoms:
1 Cs 0.0000 0.1110 0.2500 (multiplicity 4)
2 Dy 0.0000 0.3707 0.0614 (multiplicity 8)
3 Mn 0.0000 0.1687 0.7500 (multiplicity 4)
4 Te 0.0000 0.0000 0.0000 (multiplicity 4)
5 Te 0.0000 0.2594 0.6053 (multiplicity 8)
6 Te 0.0000 0.4283 0.2500 (multiplicity 4)

---

Entry 6:
The following is a PBE calculation of an optimized crystal structure of CsDyMnTe4, from Alexandria.

ΔE_f (raw): -5.492 eV/f.u.
Size of the total moment: 0.608 μB/atom
Total energy: -65.4 eV per cell
Calculated density: 5.587 g/cm3

Cell lengths 7.7398, 6.3330, 10.8405 Å; angles 90.00, 105.67, 90.00 degrees
Space group P2_1/m (No. 11)
One atom of each set of equivalent atoms:
1 Cs 0.2296 0.2500 0.0462 (multiplicity 2)
2 Dy 0.2560 0.2500 0.5493 (multiplicity 2)
3 Mn 0.2794 0.7500 0.3448 (multiplicity 2)
4 Te 0.0094 0.5051 0.6932 (multiplicity 4)
5 Te 0.4346 0.7500 0.5909 (multiplicity 2)
6 Te 0.4717 0.7500 0.1829 (multiplicity 2)

---

Entry 7:
The following is a PBE calculation of an optimized crystal structure of CsDyMnTe3, from Alexandria.

ΔE_f (raw): -5.933 eV/f.u.
Size of the total moment: 0.834 μB/atom
Total energy: -60.0 eV per cell
Calculated density: 5.145 g/cm3

Cell lengths 10.3061, 4.5173, 10.9615 Å; angles 90.00, 111.98, 90.00 degrees
Space group P2_1/m (No. 11)
One atom of each set of equivalent atoms:
1 Cs 0.2160 0.2500 0.2448 (multiplicity 2)
2 Dy 0.3315 0.7500 0.8626 (multiplicity 2)
3 Mn 0.0848 0.2500 0.6086 (multiplicity 2)
4 Te 0.1212 0.2500 0.8628 (multiplicity 2)
5 Te 0.2033 0.7500 0.5450 (multiplicity 2)
6 Te 0.4751 0.7500 0.1613 (multiplicity 2)

---

Entry 8:
The following is a PBE calculation of an optimized crystal structure of Cs3Dy3MoS8, from Alexandria.

ΔE_f (raw): -22.817 eV/f.u.
Size of the total moment: 0.133 μB/atom
Total energy: -249.1 eV per cell
Calculated density: 4.625 g/cm3

Cell lengths 7.9077, 7.9077, 24.6385 Å; angles 90.00, 90.00, 120.00 degrees
Space group R-3m (No. 166, hexagonal axes)
One atom of each set of equivalent atoms:
1 Cs 0.0000 0.5000 0.0000 (multiplicity 9)
2 Dy 0.0000 0.5000 0.5000 (multiplicity 9)
3 Mo 0.0000 0.0000 0.5000 (multiplicity 3)
4 S 0.0000 0.0000 0.2274 (multiplicity 6)
5 S 0.0259 0.5130 0.2239 (multiplicity 18)

---

Entry 9:
The following is a PBE calculation of an optimized crystal structure of CsDy2P2N6, from Alexandria.

ΔE_f (raw): -8.098 eV/f.u.
Size of the total moment: 0.004 μB/atom
Total energy: -157.9 eV per cell
Calculated density: 5.064 g/cm3

Cell lengths 11.4317, 6.2647, 6.3707 Å; angles 90.00, 119.77, 90.00 degrees
Space group C2/m (No. 12)
One atom of each set of equivalent atoms:
1 Cs 0.0000 0.0000 0.0000 (multiplicity 2)
2 Dy 0.1779 0.5000 0.3011 (multiplicity 4)
3 P 0.1494 0.5000 0.7371 (multiplicity 4)
4 N 0.0649 0.5000 0.8700 (multiplicity 4)
5 N 0.1933 0.2900 0.6564 (multiplicity 8)

---

Entry 10:
The following is a PBE calculation of an optimized crystal structure of Cs2DyReN4, from Alexandria.

ΔE_f (raw): -3.100 eV/f.u.
Size of the total moment: 0.000 μB/atom
Total energy: -441.3 eV per cell
Calculated density: 4.762 g/cm3

Cell lengths 5.8925, 13.2396, 23.9799 Å; angles 90.00, 90.00, 90.00 degrees
Space group Fddd (No. 70, origin choice 2)
One atom of each set of equivalent atoms:
1 Cs 0.1250 0.1250 0.3032 (multiplicity 16)
2 Dy 0.1250 0.1250 0.1250 (multiplicity 8)
3 Re 0.1250 0.1250 0.6250 (multiplicity 8)
4 N 0.0786 0.2981 0.8348 (multiplicity 32)

---

Entry 11:
The following is a PBE calculation of an optimized crystal structure of CsDyWN3, from Alexandria.

ΔE_f (raw): -3.504 eV/f.u.
Size of the total moment: 0.000 μB/atom
Total energy: -187.6 eV per cell
Calculated density: 7.671 g/cm3

Cell lengths 13.5651, 3.9212, 8.7402 Å; angles 90.00, 103.88, 90.00 degrees
Space group C2/m (No. 12)
One atom of each set of equivalent atoms:
1 Cs 0.1441 0.0000 0.0700 (multiplicity 4)
2 Dy 0.1621 0.0000 0.5805 (multiplicity 4)
3 W 0.0097 0.5000 0.3430 (multiplicity 4)
4 N 0.0143 0.0000 0.3600 (multiplicity 4)
5 N 0.1325 0.5000 0.7544 (multiplicity 4)
6 N 0.1621 0.5000 0.3769 (multiplicity 4)

---

Entry 12:
The following is a PBE calculation of an optimized crystal structure of CsNaDySe2, from Alexandria.

ΔE_f (raw): -5.772 eV/f.u.
Size of the total moment: 0.000 μB/atom
Total energy: -78.1 eV per cell
Calculated density: 3.760 g/cm3

Cell lengths 7.4766, 16.0195, 7.0245 Å; angles 90.00, 90.00, 90.00 degrees
Space group Cmme (No. 67)
One atom of each set of equivalent atoms:
1 Cs 0.0000 0.2500 0.2407 (multiplicity 4)
2 Na 0.0000 0.0000 0.5000 (multiplicity 4)
3 Dy 0.2500 0.0000 0.0000 (multiplicity 4)
4 Se 0.0000 0.1044 0.8282 (multiplicity 8)

---

Entry 13:
The following is a PBE calculation of an optimized crystal structure of CsNaDyTe2, from Alexandria.

ΔE_f (raw): -4.642 eV/f.u.
Size of the total moment: 0.054 μB/atom
Total energy: -70.8 eV per cell
Calculated density: 4.373 g/cm3

Cell lengths 6.8253, 16.8059, 7.5957 Å; angles 90.00, 90.00, 90.00 degrees
Space group Cmme (No. 67)
One atom of each set of equivalent atoms:
1 Cs 0.0000 0.2500 0.2424 (multiplicity 4)
2 Na 0.0000 0.0000 0.5000 (multiplicity 4)
3 Dy 0.2500 0.0000 0.0000 (multiplicity 4)
4 Te 0.0000 0.1156 0.7907 (multiplicity 8)

---

Entry 14:
The following is a PBE calculation of an optimized crystal structure of Cs3DyNb2O8, from Alexandria.

ΔE_f (raw): -36.018 eV/f.u.
Size of the total moment: 0.000 μB/atom
Total energy: -103.0 eV per cell
Calculated density: 4.852 g/cm3

Cell lengths 6.3766, 6.3766, 8.5041 Å; angles 90.00, 90.00, 120.00 degrees
Space group P-3m1 (No. 164)
One atom of each set of equivalent atoms:
1 Cs 0.0000 0.0000 0.0000 (multiplicity 1)
2 Cs 0.3333 0.6667 0.7211 (multiplicity 2)
3 Dy 0.0000 0.0000 0.5000 (multiplicity 1)
4 Nb 0.3333 0.6667 0.2741 (multiplicity 2)
5 O 0.1699 0.3399 0.3447 (multiplicity 6)
6 O 0.3333 0.6667 0.0594 (multiplicity 2)

---

Entry 15:
The following is a PBE calculation of an optimized crystal structure of Cs3Dy3NbS8, from Alexandria.

ΔE_f (raw): -24.474 eV/f.u.
Size of the total moment: 0.067 μB/atom
Total energy: -251.8 eV per cell
Calculated density: 4.590 g/cm3

Cell lengths 7.9256, 7.9256, 24.6491 Å; angles 90.00, 90.00, 120.00 degrees
Space group R-3m (No. 166, hexagonal axes)
One atom of each set of equivalent atoms:
1 Cs 0.0000 0.5000 0.0000 (multiplicity 9)
2 Dy 0.0000 0.5000 0.5000 (multiplicity 9)
3 Nb 0.0000 0.0000 0.5000 (multiplicity 3)
4 S 0.0000 0.0000 0.2274 (multiplicity 6)
5 S 0.0222 0.5111 0.2245 (multiplicity 18)

---

Entry 16:
The following is a PBE calculation of an optimized crystal structure of CsNd2Dy, from Alexandria.

Size of the total moment: 0.000 μB/atom
Total energy: -41.6 eV per cell
Calculated density: 6.019 g/cm3
Formation enthalpy at 0 K: 280 meV per atom

Cell lengths 3.7213, 3.7213, 40.2923 Å; angles 90.00, 90.00, 120.00 degrees
Space group R-3m (No. 166, hexagonal axes)
One atom of each set of equivalent atoms:
1 Cs 0.0000 0.0000 0.0000 (multiplicity 3)
2 Nd 0.0000 0.0000 0.0960 (multiplicity 6)
3 Dy 0.0000 0.0000 0.5000 (multiplicity 3)

---

Entry 17:
The following is a PBE calculation of an optimized crystal structure of Cs2NdDyO4, from Alexandria.

ΔE_f (raw): -20.470 eV/f.u.
Size of the total moment: 0.000 μB/atom
Total energy: -51.4 eV per cell
Calculated density: 6.676 g/cm3

Cell lengths 6.2933, 3.6338, 7.2321 Å; angles 90.00, 106.80, 90.00 degrees
Space group P2/m (No. 10)
One atom of each set of equivalent atoms:
1 Cs 0.0000 0.0000 0.0000 (multiplicity 1)
2 Cs 0.5000 0.5000 0.0000 (multiplicity 1)
3 Nd 0.0000 0.5000 0.5000 (multiplicity 1)
4 Dy 0.5000 0.0000 0.5000 (multiplicity 1)
5 O 0.2318 0.0000 0.6673 (multiplicity 2)
6 O 0.2865 0.5000 0.3336 (multiplicity 2)

---

Entry 18:
The following is a PBE calculation of an optimized crystal structure of Cs3NdDy2S6, from Alexandria.

ΔE_f (raw): -21.879 eV/f.u.
Size of the total moment: 0.000 μB/atom
Total energy: -126.4 eV per cell
Calculated density: 4.859 g/cm3

Cell lengths 7.1968, 12.4649, 8.4275 Å; angles 90.00, 106.54, 90.00 degrees
Space group C2/m (No. 12)
One atom of each set of equivalent atoms:
1 Cs 0.0000 0.0000 0.0000 (multiplicity 2)
2 Cs 0.0000 0.3344 0.0000 (multiplicity 4)
3 Nd 0.0000 0.5000 0.5000 (multiplicity 2)
4 Dy 0.0000 0.1667 0.5000 (multiplicity 4)
5 S 0.2192 0.0000 0.6827 (multiplicity 4)
6 S 0.2319 0.3291 0.6832 (multiplicity 8)

---

Entry 19:
The following is a PBE calculation of an optimized crystal structure of Cs3Nd2DyS6, from Alexandria.

ΔE_f (raw): -21.782 eV/f.u.
Size of the total moment: 0.000 μB/atom
Total energy: -126.5 eV per cell
Calculated density: 4.658 g/cm3

Cell lengths 7.2815, 12.6112, 8.4475 Å; angles 90.00, 106.70, 90.00 degrees
Space group C2/m (No. 12)
One atom of each set of equivalent atoms:
1 Cs 0.0000 0.0000 0.0000 (multiplicity 2)
2 Cs 0.0000 0.3323 0.0000 (multiplicity 4)
3 Nd 0.0000 0.1666 0.5000 (multiplicity 4)
4 Dy 0.0000 0.5000 0.5000 (multiplicity 2)
5 S 0.2241 0.3375 0.6846 (multiplicity 8)
6 S 0.2367 0.0000 0.6851 (multiplicity 4)

---

Entry 20:
The following is a PBE calculation of an optimized crystal structure of Cs3Nd2DySe6, from Alexandria.

ΔE_f (raw): -20.716 eV/f.u.
Size of the total moment: 0.000 μB/atom
Total energy: -116.6 eV per cell
Calculated density: 5.301 g/cm3

Cell lengths 7.5487, 13.0752, 8.7697 Å; angles 90.00, 106.68, 90.00 degrees
Space group C2/m (No. 12)
One atom of each set of equivalent atoms:
1 Cs 0.0000 0.0000 0.0000 (multiplicity 2)
2 Cs 0.0000 0.3317 0.0000 (multiplicity 4)
3 Nd 0.0000 0.1665 0.5000 (multiplicity 4)
4 Dy 0.0000 0.5000 0.5000 (multiplicity 2)
5 Se 0.2256 0.3373 0.6885 (multiplicity 8)
6 Se 0.2377 0.0000 0.6893 (multiplicity 4)